{
  "formula": "Ba2Gd2Co4O11",
  "functional": "GGA+U",
  "state": "optimized geometry",
  "cell": [[3.877, 0.000, 0.000], [0.000, 7.587, 0.000], [0.000, 0.000, 7.790]],
  "species": ["Ba", "Ba", "Gd", "Gd", "Co", "Co", "Co", "Co", "O", "O", "O", "O", "O", "O", "O", "O", "O", "O", "O"],
  "fractional_positions": [[0.000, 0.000, 0.249], [0.000, 0.000, 0.751], [0.000, 0.500, 0.270], [0.000, 0.500, 0.730], [0.500, 0.253, 0.500], [0.500, 0.260, 0.000], [0.500, 0.740, 0.000], [0.500, 0.747, 0.500], [0.000, 0.275, 0.500], [0.000, 0.315, 0.000], [0.000, 0.685, 0.000], [0.000, 0.725, 0.500], [0.500, 0.000, 0.000], [0.500, 0.000, 0.500], [0.500, 0.300, 0.232], [0.500, 0.300, 0.768], [0.500, 0.500, 0.500], [0.500, 0.700, 0.232], [0.500, 0.700, 0.768]],
  "total_energy_ev_per_cell": -125.28,
  "volume_a3_per_cell": 229.1,
  "spacegroup": "Pmmm, No. 47"
}